1.
# DyErCoGe2

A relaxed structure of DyErCoGe2 (GGA-PBE, the Open Quantum Materials Database).

```
10
Lattice="-4.5705 1.8527 -2.6839 -2.5689 -1.1012 -4.8696 -1.6654 -6.6600 7.4758" Properties=species:S:1:pos:R:3 pbc="T T T"
Er -0.5956 -2.2165 2.4501
Er -8.2091 -3.6920 -2.5279
Co -5.7609 -1.8279 -2.8052
Co -3.0439 -4.0806 2.7274
Ge -5.6161 -3.2749 -0.7170
Ge -5.1306 -5.4398 2.6533
Ge -3.6741 -0.4687 -2.7311
Ge -3.1887 -2.6336 0.6392
Dy -1.5146 -0.6099 -0.5628
Dy -7.2901 -5.2986 0.4849
```

Output
VASP energy = -58.6 eV/cell
space group = C2/m

2.
# Dy2Hg3Pb3

A relaxed structure of Dy2Hg3Pb3 (GGA-PBE, the Open Quantum Materials Database).

```
8
Lattice="4.7025 0.0000 0.0000 0.0000 4.8513 0.0000 0.0000 0.0000 9.1535" Properties=species:S:1:pos:R:3 pbc="T T T"
Pb 0.0000 2.4257 0.0000
Pb 2.3513 0.0000 0.0000
Pb 2.3513 0.0000 4.5767
Dy 0.0000 0.0000 2.3116
Dy 0.0000 0.0000 6.8419
Hg 2.3513 2.4257 6.7987
Hg 0.0000 2.4257 4.5767
Hg 2.3513 2.4257 2.3548
```

Output
VASP energy = -23.8 eV/cell
space group = Pmmm

3.
# AlGa2Tc

A relaxed structure of AlGa2Tc (GGA-PBE, the Open Quantum Materials Database).

```
4
Lattice="0.8252 -4.3355 0.3931 -2.7344 -2.5711 2.3546 -2.5936 -2.9444 -2.0581" Properties=species:S:1:pos:R:3 pbc="T T T"
Al -2.2514 -4.9254 0.3448
Ga -3.3771 -7.3882 0.5172
Ga 0.0000 0.0000 0.0000
Tc -1.1257 -2.4627 0.1724
```

Output
VASP energy = -19.4 eV/cell
space group = F-43m

4.
# NaNdSnTe3

A relaxed structure of NaNdSnTe3 (GGA-PBE, the Open Quantum Materials Database).

```
12
Lattice="-3.3585 7.0235 -1.4532 1.3424 -7.2981 -2.7671 -9.8563 -3.6892 4.9484" Properties=species:S:1:pos:R:3 pbc="T T T"
Na -7.1311 -6.7709 1.2463
Na -4.7413 2.8072 -0.5183
Te -10.2075 2.6017 2.1062
Te -11.0116 -1.5833 2.7626
Te -4.7397 -3.8323 -0.0872
Te -0.8608 -2.3805 -2.0346
Te -1.6649 -6.5654 -1.3782
Te -7.1326 -0.1314 0.8152
Nd 0.0000 0.0000 0.0000
Nd -4.9281 -1.8446 2.4742
Sn -8.4624 -2.7149 1.6184
Sn -3.4100 -1.2488 -0.8904
```

Output
VASP energy = -48.0 eV/cell
space group = Cmcm

5.
# SrAlGa3Ir

A relaxed structure of SrAlGa3Ir (GGA-PBE, the Open Quantum Materials Database).

```
12
Lattice="-6.7481 3.3442 2.7984 0.8325 -1.4481 3.7379 3.6697 6.1086 1.5492" Properties=species:S:1:pos:R:3 pbc="T T T"
Sr -0.8613 0.7937 2.7414
Sr -1.3847 7.2111 5.3441
Ga 2.2511 2.3302 2.6436
Ga 2.5236 5.0694 1.4018
Ga -5.6021 4.3834 2.9457
Ga -0.0463 6.3430 2.4675
Ga -3.0321 3.1098 1.8800
Ga -1.1230 4.0024 4.0427
Ir 1.2246 4.2658 3.6220
Ir -3.4705 3.7389 4.4635
Al -0.0051 3.6359 1.4096
Al -3.0734 5.8169 2.9379
```

Output
VASP energy = -52.7 eV/cell
space group = Pmma

6.
# BaMgReTc

A relaxed structure of BaMgReTc (GGA-PBE, the Open Quantum Materials Database).

```
4
Lattice="0.0000 3.4430 3.4430 3.4430 0.0000 3.4430 3.4430 3.4430 0.0000" Properties=species:S:1:pos:R:3 pbc="T T T"
Ba 3.4430 3.4430 3.4430
Tc 0.0000 0.0000 0.0000
Re 1.7215 1.7215 1.7215
Mg 5.1645 5.1645 5.1645
```

Output
VASP energy = -21.7 eV/cell
space group = F-43m